VASP calculation (GGA+U) on an optimized crystal structure of B2MoPb6O12.

Calculated values
total DFT energy (no corrections)	-271.74	eV for the cell shown
SG	No. 63
magnetic moment	0.00	Bohr magnetons per cell

Lattice parameters (Å, degrees): 9.9422 9.9422 12.0877 90.00 90.00 142.20
Last column: nearest neighbours and their distance in Å.
Atoms (fractional coordinates):
O (0.2739, 0.8382, 0.5953)  1 B 1.39
Pb (0.8676, 0.6511, 0.0947)  3 O 2.22-2.38
O (0.3286, 0.6714, 0.5000)  1 B 1.40
Pb (0.8676, 0.6511, 0.4053)  3 O 2.22-2.38
Pb (0.6511, 0.8676, 0.4053)  3 O 2.22-2.38
O (0.6714, 0.3286, 0.5000)  1 B 1.40
O (0.7861, 0.4795, 0.2500)  3 Pb 2.22-2.39
O (0.5682, 0.5682, 0.8707)  1 Mo 1.80
O (0.2739, 0.8382, 0.9047)  1 B 1.39
Mo (0.7305, 0.7305, 0.7500)  4 O 1.80-1.82
Mo (0.2695, 0.2695, 0.2500)  4 O 1.80-1.82
Pb (0.4920, 0.9099, 0.7500)  3 O 2.39-2.50
O (0.0243, 0.1796, 0.2500)  1 Mo 1.82
O (0.7261, 0.1618, 0.0953)  1 B 1.39
O (0.8382, 0.2739, 0.5953)  1 B 1.39
O (0.3286, 0.6714, 0.0000)  1 B 1.40
O (0.4318, 0.4318, 0.1293)  1 Mo 1.80
Pb (0.0901, 0.5080, 0.2500)  3 O 2.39-2.50
O (0.1618, 0.7261, 0.4047)  1 B 1.39
O (0.5205, 0.2139, 0.7500)  3 Pb 2.22-2.39
B (0.2539, 0.7461, 0.0000)  3 O 1.39-1.40
Pb (0.5080, 0.0901, 0.2500)  3 O 2.39-2.50
O (0.9757, 0.8204, 0.7500)  1 Mo 1.82
B (0.7461, 0.2539, 0.0000)  3 O 1.39-1.40
O (0.4318, 0.4318, 0.3707)  1 Mo 1.80
O (0.7261, 0.1618, 0.4047)  1 B 1.39
B (0.2539, 0.7461, 0.5000)  3 O 1.39-1.40
Pb (0.1324, 0.3489, 0.5947)  3 O 2.22-2.38
Pb (0.1324, 0.3489, 0.9053)  3 O 2.22-2.38
Pb (0.3489, 0.1324, 0.5947)  3 O 2.22-2.38
B (0.7461, 0.2539, 0.5000)  3 O 1.39-1.40
O (0.1796, 0.0243, 0.2500)  1 Mo 1.82
O (0.1618, 0.7261, 0.0953)  1 B 1.39
O (0.4795, 0.7861, 0.2500)  3 Pb 2.22-2.39
Pb (0.3489, 0.1324, 0.9053)  3 O 2.22-2.38
Pb (0.6511, 0.8676, 0.0947)  3 O 2.22-2.38
O (0.2139, 0.5205, 0.7500)  3 Pb 2.22-2.39
O (0.6714, 0.3286, 0.0000)  1 B 1.40
O (0.5682, 0.5682, 0.6293)  1 Mo 1.80
O (0.8382, 0.2739, 0.9047)  1 B 1.39
Pb (0.9099, 0.4920, 0.7500)  3 O 2.39-2.50
O (0.8204, 0.9757, 0.7500)  1 Mo 1.82